1.
VASP calculation (GGA-PBE) on an optimized crystal structure of NaSi3Ni.

Unit cell a=4.7730 b=4.7730 c=4.7730 alpha=90.00 beta=90.00 gamma=90.00
Fractional coordinates of all 5 atoms:
Ni: 0.5000 0.5000 0.5000
Si: 0.0000 0.5000 0.0000
Si: 0.0000 0.0000 0.5000
Si: 0.5000 0.0000 0.0000
Na: 0.0000 0.0000 0.0000

Properties
As for the space-group type: Pm-3m, No. 221. The density of states at the Fermi level is 1.030 states/eV/atom. The volume is 108.7 Å³ per cell.



2.
VASP calculation (GGA-PBE) on an optimized crystal structure of NaSi3Ni.

Unit cell a=4.5181 b=4.5181 c=4.5181 alpha=90.00 beta=90.00 gamma=90.00
Fractional coordinates of all 5 atoms:
Ni: 0.0000 0.0000 0.0000
Si: 0.0000 0.5000 0.0000
Si: 0.0000 0.0000 0.5000
Si: 0.5000 0.0000 0.0000
Na: 0.5000 0.5000 0.5000

Properties
As for the space-group type: Pm-3m, No. 221. The density of states at the Fermi level is 0.622 states/eV/atom. The volume is 92.2 Å³ per cell.



Stability, lowest: 1



1.
VASP calculation (GGA-PBE) on an optimized crystal structure of Na2SiNi2.

Unit cell a=5.8310 b=5.8310 c=4.9669 alpha=90.00 beta=90.00 gamma=90.00
Fractional coordinates of all 10 atoms:
Ni: 0.3546 0.8546 0.0000
Ni: 0.8546 0.6454 0.0000
Ni: 0.6454 0.1454 0.0000
Ni: 0.1454 0.3546 0.0000
Si: 0.0000 0.0000 0.0000
Si: 0.5000 0.5000 0.0000
Na: 0.1778 0.6778 0.5000
Na: 0.6778 0.8222 0.5000
Na: 0.8222 0.3222 0.5000
Na: 0.3222 0.1778 0.5000

Properties
As for the space-group type: P4/mbm, No. 127. The density of states at the Fermi level is 0.365 states/eV/atom. The volume is 168.9 Å³ per cell.



2.
VASP calculation (GGA-PBE) on an optimized crystal structure of Na2SiNi2.

Unit cell a=3.1737 b=3.1737 c=9.8883 alpha=80.77 beta=80.77 gamma=90.00
Site moments in Bohr magnetons follow the coordinates.
Fractional coordinates of all 5 atoms:
Ni: 0.7500 0.2500 0.5000  0.64
Ni: 0.2500 0.7500 0.5000  0.64
Si: 0.0000 0.0000 0.0000  0.00
Na: 0.3852 0.3852 0.2297  0.00
Na: 0.6148 0.6148 0.7703  0.00

Properties
As for the space-group type: I4/mmm, No. 139. The density of states at the Fermi level is 1.009 states/eV/atom. The volume is 97.0 Å³ per cell.



Stability, lowest: 2



1.
VASP calculation (GGA-PBE) on an optimized crystal structure of Na2Sr4Ni.

Unit cell a=5.7829 b=5.7829 c=10.3317 alpha=73.75 beta=73.75 gamma=90.00
Fractional coordinates of all 7 atoms:
Sr: 0.8402 0.8402 0.3196
Sr: 0.1598 0.1598 0.6804
Sr: 0.0000 0.5000 0.0000
Sr: 0.5000 0.0000 0.0000
Na: 0.6382 0.6382 0.7235
Na: 0.3618 0.3618 0.2765
Ni: 0.0000 0.0000 0.0000

Properties
As for the space-group type: I4/mmm, No. 139. The density of states at the Fermi level is 0.670 states/eV/atom. The volume is 317.3 Å³ per cell.



2.
VASP calculation (GGA-PBE) on an optimized crystal structure of Na2Sr4Ni.

Unit cell a=4.2554 b=7.7614 c=10.4494 alpha=111.81 beta=90.00 gamma=90.00
Fractional coordinates of all 7 atoms:
Na: 0.5000 0.2539 0.5789
Na: 0.5000 0.6032 0.2783
Sr: 0.5000 0.1769 0.9286
Sr: 0.0000 0.7744 0.6200
Sr: 0.5000 0.6802 0.9285
Sr: 0.0000 0.0827 0.2372
Ni: 0.0000 0.9286 0.9286

Properties
As for the space-group type: Cmmm, No. 65. The density of states at the Fermi level is 0.788 states/eV/atom. The volume is 320.4 Å³ per cell.



Stability, lowest: 2



1.
VASP calculation (GGA-PBE) on an optimized crystal structure of NaSr3Ni.

Unit cell a=7.2541 b=8.3511 c=7.2562 alpha=89.52 beta=71.94 gamma=90.49
Fractional coordinates of all 10 atoms:
Na: 0.7798 0.4535 0.1403
Na: 0.2801 0.4535 0.6401
Sr: 0.7837 0.1977 0.6367
Sr: 0.7766 0.7095 0.6437
Sr: 0.2835 0.1977 0.1366
Sr: 0.2801 0.9536 0.6400
Sr: 0.2765 0.7095 0.1435
Sr: 0.7799 0.9536 0.1401
Ni: 0.0299 0.9535 0.3899
Ni: 0.5299 0.9535 0.8899

Properties
As for the space-group type: P2/m, No. 10. The density of states at the Fermi level is 0.496 states/eV/atom. The volume is 417.9 Å³ per cell.



2.
VASP calculation (GGA-PBE) on an optimized crystal structure of NaSr3Ni.

Unit cell a=5.9088 b=5.9088 c=5.9088 alpha=90.00 beta=90.00 gamma=90.00
Fractional coordinates of all 5 atoms:
Sr: 0.0000 0.5000 0.0000
Sr: 0.0000 0.0000 0.5000
Sr: 0.5000 0.0000 0.0000
Na: 0.5000 0.5000 0.5000
Ni: 0.0000 0.0000 0.0000

Properties
As for the space-group type: Pm-3m, No. 221. The density of states at the Fermi level is 0.492 states/eV/atom. The volume is 206.3 Å³ per cell.



Stability, lowest: 1



1.
VASP calculation (GGA-PBE) on an optimized crystal structure of NaSr3Ni.

Unit cell a=4.9802 b=4.9802 c=10.1583 alpha=90.00 beta=90.00 gamma=90.00
Fractional coordinates of all 5 atoms:
Sr: 0.0000 0.0000 0.7227
Sr: 0.5000 0.0000 0.4203
Sr: 0.0000 0.5000 0.4203
Na: 0.0000 0.0000 0.1104
Ni: 0.5000 0.5000 0.5901

Properties
As for the space-group type: P4mm, No. 99. The density of states at the Fermi level is 1.253 states/eV/atom. The volume is 252.0 Å³ per cell.



2.
VASP calculation (GGA-PBE) on an optimized crystal structure of NaSr3Ni.

Unit cell a=4.1098 b=10.8331 c=10.8331 alpha=135.65 beta=90.00 gamma=90.00
Fractional coordinates of all 5 atoms:
Sr: 0.5000 0.1843 0.3296
Sr: 0.5000 0.6704 0.8157
Sr: 0.0000 0.2695 0.7305
Na: 0.5000 0.0966 0.9034
Ni: 0.0000 0.4072 0.5928

Properties
As for the space-group type: Amm2, No. 38. The density of states at the Fermi level is 0.736 states/eV/atom. The volume is 337.2 Å³ per cell.



Stability, lowest: 2



1.
VASP calculation (GGA-PBE) on an optimized crystal structure of NaSr3Ni.

Unit cell a=10.2336 b=4.2208 c=9.6658 alpha=102.68 beta=92.10 gamma=90.03
Fractional coordinates of all 10 atoms:
Na: 0.0399 0.3970 0.1993
Na: 0.1755 0.1735 0.7541
Sr: 0.5587 0.1711 0.7479
Sr: 0.6568 0.3981 0.2028
Sr: 0.8663 0.0473 0.4992
Sr: 0.3309 0.8281 0.0636
Sr: 0.8849 0.7422 0.8898
Sr: 0.3482 0.5228 0.4530
Ni: 0.5726 0.0116 0.4292
Ni: 0.6414 0.5575 0.5199

Properties
As for the space-group type: P1, No. 1. The density of states at the Fermi level is 0.882 states/eV/atom. The volume is 407.0 Å³ per cell.



2.
VASP calculation (GGA-PBE) on an optimized crystal structure of NaSr3Ni.

Unit cell a=24.5694 b=10.3741 c=10.3741 alpha=156.43 beta=155.29 gamma=24.71
Fractional coordinates of all 10 atoms:
Sr: 0.7145 0.2492 0.7508
Sr: 0.2855 0.7508 0.2492
Sr: 0.1376 0.2589 0.7411
Sr: 0.8624 0.7411 0.2589
Sr: 0.4969 0.6679 0.3321
Sr: 0.5031 0.3321 0.6679
Na: 0.1527 0.5715 0.4285
Na: 0.8473 0.4285 0.5715
Ni: 0.5365 0.0153 0.9847
Ni: 0.4635 0.9847 0.0153

Properties
As for the space-group type: C2/m, No. 12. The density of states at the Fermi level is 0.898 states/eV/atom. The volume is 394.0 Å³ per cell.



3.
VASP calculation (GGA-PBE) on an optimized crystal structure of NaSr3Ni.

Unit cell a=7.4872 b=9.7803 c=5.8883 alpha=90.00 beta=112.90 gamma=90.00
Fractional coordinates of all 10 atoms:
Sr: 0.7448 0.5480 0.8730
Sr: 0.2552 0.4520 0.1270
Sr: 0.7448 0.9520 0.8730
Sr: 0.2552 0.0480 0.1270
Sr: 0.8821 0.2500 0.4414
Sr: 0.1179 0.7500 0.5586
Na: 0.4616 0.2500 0.7291
Na: 0.5384 0.7500 0.2709
Ni: 0.9156 0.2500 0.9580
Ni: 0.0844 0.7500 0.0420

Properties
As for the space-group type: P2_1/m, No. 11. The density of states at the Fermi level is 0.605 states/eV/atom. The volume is 397.2 Å³ per cell.



Stability, lowest: 3